Material: CsNaTlHg2
Method: DFT, PBE
State: relaxed

```
CsNaTlHg2
1.0
5.885 0.000 0.000
0.000 5.885 0.000
0.000 0.000 5.973
Cs Na Tl Hg
1 1 1 2
direct
0.500 0.500 0.500
0.000 0.000 0.000
0.000 0.000 0.500
0.000 0.500 0.000
0.500 0.000 0.000
```

Results
M_tot = 0.00 μB per cell
Offset from the most stable computed form = 0.88 eV/f.u.